[1]
Ba2MgIn | meta-GGA SCAN | single point on PBEsol structure

a = 5.2690 Å, b = 5.2690 Å, c = 17.9840 Å
α = 90.00°, β = 90.00°, γ = 120.00°
Space group R3m (No. 160, hexagonal axes)
Unique sites:
Ba1 0.0000 0.0000 0.0000 (multiplicity 3)
Ba2 0.0000 0.0000 0.2166 (multiplicity 3)
Mg1 0.0000 0.0000 0.4420 (multiplicity 3)
In1 0.0000 0.0000 0.7778 (multiplicity 3)

Results
The calculation puts the final energy at -29.651 eV/atom. The value obtained for the calculated formation energy is -286 meV per atom.

[2]
Ba2MgIn | meta-GGA SCAN | single point on PBEsol structure

a = 4.038 Å, b = 5.883 Å, c = 6.193 Å
α = 90.00°, β = 90.00°, γ = 90.00°
Space group Pmm2 (No. 25)
Unique sites:
Ba1 0.000 0.000 0.000 (multiplicity 1)
Ba2 0.000 0.500 0.415 (multiplicity 1)
Mg1 0.500 0.000 0.528 (multiplicity 1)
In1 0.500 0.500 0.895 (multiplicity 1)

Results
The calculation puts the final energy at -29.663 eV/atom. The value obtained for the calculated formation energy is -298 meV per atom.

[3]
Ba2MgIn | meta-GGA SCAN | single point on PBEsol structure

a = 13.354 Å, b = 4.144 Å, c = 5.927 Å
α = 90.00°, β = 116.25°, γ = 90.00°
Space group Cm (No. 8)
Unique sites:
Ba1 0.000 0.000 0.000 (multiplicity 2)
Ba2 0.193 0.000 0.693 (multiplicity 2)
Mg1 0.422 0.000 0.423 (multiplicity 2)
In1 0.249 0.500 0.248 (multiplicity 2)

Results
The calculation puts the final energy at -29.673 eV/atom. The value obtained for the calculated formation energy is -308 meV per atom.

[4]
BaMgIn | meta-GGA SCAN | single point on PBEsol structure

a = 5.3048 Å, b = 5.3048 Å, c = 3.9962 Å
α = 90.00°, β = 90.00°, γ = 120.00°
Space group P-6m2 (No. 187)
Unique sites:
Ba1 0.0000 0.0000 0.0000 (multiplicity 1)
Mg1 0.3333 0.6667 0.5000 (multiplicity 1)
In1 0.6667 0.3333 0.5000 (multiplicity 1)

Results
The calculation puts the final energy at -26.325 eV/atom. The value obtained for the calculated formation energy is -354 meV per atom.

[5]
BaMnIn | meta-GGA SCAN | single point on PBEsol structure

a = 7.530 Å, b = 7.530 Å, c = 7.530 Å
α = 90.00°, β = 90.00°, γ = 90.00°
Space group F-43m (No. 216)
Unique sites:
Ba1 0.000 0.000 0.000 (multiplicity 4)
Mn1 0.250 0.250 0.750 (multiplicity 4)
In1 0.250 0.250 0.250 (multiplicity 4)

Results
The calculation puts the final energy at -29.843 eV/atom. The value obtained for the calculated formation energy is 554 meV per atom.

[6]
BaMnIn | meta-GGA SCAN | single point on PBEsol structure

a = 4.7624 Å, b = 4.7624 Å, c = 4.6745 Å
α = 90.00°, β = 90.00°, γ = 120.00°
Space group P-6m2 (No. 187)
Unique sites:
Ba1 0.0000 0.0000 0.0000 (multiplicity 1)
Mn1 0.6667 0.3333 0.5000 (multiplicity 1)
In1 0.3333 0.6667 0.5000 (multiplicity 1)

Results
The calculation puts the final energy at -30.572 eV/atom. The value obtained for the calculated formation energy is -175 meV per atom.